Entry 1:
Computed, not measured: a relaxed structure of CrOsSe at the GGA-PBE level of DFT.

It has space group Fmm2 (No. 42), with a = 2.938 Å, b = 4.692 Å, c = 14.182 Å, α = 90.00°, β = 90.00° and γ = 90.00°. Symmetry generates all atoms from Cr at (0.000, 0.000, 0.000), Os at (0.000, 0.000, 0.637) and Se at (0.000, 0.000, 0.355).

For the offset from the most stable computed form, the calculation gives 0.601 eV per atom. As for the uncorrected formation energy: 628 meV/atom.

---

Entry 2:
Computed, not measured: a relaxed structure of Cr2OsSe at the GGA-PBE level of DFT.

It has space group R3m (No. 160, hexagonal axes), with a = 2.7984 Å, b = 2.7984 Å, c = 25.2155 Å, α = 90.00°, β = 90.00° and γ = 120.00°. Symmetry generates all atoms from Cr at (0.0000, 0.0000, 0.0000), Cr at (0.0000, 0.0000, 0.2545), Os at (0.0000, 0.0000, 0.7434) and Se at (0.0000, 0.0000, 0.5176).

As for the uncorrected formation energy: 372 meV/atom.

---

Entry 3:
Computed, not measured: a relaxed structure of CrOs4Se at the GGA-PBE level of DFT.

It has space group F-43m (No. 216), with a = 7.333 Å, b = 7.333 Å, c = 7.333 Å, α = 90.00°, β = 90.00° and γ = 90.00°. Symmetry generates all atoms from Cr at (0.000, 0.000, 0.000), Os at (0.126, 0.126, 0.626) and Se at (0.250, 0.250, 0.250).

As for the uncorrected formation energy: 1021 meV/atom.

---

Entry 4:
Computed, not measured: a relaxed structure of CrSnOs2Se at the GGA-PBE level of DFT.

It has space group P4/mmm (No. 123), with a = 4.871 Å, b = 4.871 Å, c = 4.796 Å, α = 90.00°, β = 90.00° and γ = 90.00°. Symmetry generates all atoms from Cr at (0.000, 0.000, 0.000), Sn at (0.000, 0.000, 0.500), Os at (0.000, 0.500, 0.500) and Se at (0.500, 0.500, 0.000).

As for the uncorrected formation energy: 2534 meV/atom.

---

Entry 5:
Computed, not measured: a relaxed structure of TaCrOs2Se at the GGA-PBE level of DFT.

It has space group P4/mmm (No. 123), with a = 4.786 Å, b = 4.786 Å, c = 4.585 Å, α = 90.00°, β = 90.00° and γ = 90.00°. Symmetry generates all atoms from Ta at (0.000, 0.000, 0.000), Cr at (0.000, 0.000, 0.500), Os at (0.000, 0.500, 0.000) and Se at (0.500, 0.500, 0.500).

As for the uncorrected formation energy: 2211 meV/atom.

---

Entry 6:
Computed, not measured: a relaxed structure of Cr2TcOsSe at the GGA-PBE level of DFT.

It has space group P4/mmm (No. 123), with a = 4.454 Å, b = 4.454 Å, c = 4.733 Å, α = 90.00°, β = 90.00° and γ = 90.00°. Symmetry generates all atoms from Cr at (0.000, 0.500, 0.000), Tc at (0.000, 0.000, 0.000), Os at (0.000, 0.000, 0.500) and Se at (0.500, 0.500, 0.500).

As for the uncorrected formation energy: 1789 meV/atom.

---

Entry 7:
Computed, not measured: a relaxed structure of CrSiOs2 at the GGA-PBE level of DFT.

It has space group F-43m (No. 216), with a = 5.982 Å, b = 5.982 Å, c = 5.982 Å, α = 90.00°, β = 90.00° and γ = 90.00°. Symmetry generates all atoms from Cr at (0.000, 0.000, 0.000), Si at (0.250, 0.250, 0.750), Os at (0.000, 0.000, 0.500) and Os at (0.250, 0.250, 0.250).

As for the uncorrected formation energy: 215 meV/atom.

---

Entry 8:
Computed, not measured: a relaxed structure of CrSi2Os at the GGA-PBE level of DFT.

It has space group R3m (No. 160, hexagonal axes), with a = 2.8224 Å, b = 2.8224 Å, c = 23.1648 Å, α = 90.00°, β = 90.00° and γ = 120.00°. Symmetry generates all atoms from Cr at (0.0000, 0.0000, 0.0000), Si at (0.0000, 0.0000, 0.2547), Si at (0.0000, 0.0000, 0.5018) and Os at (0.0000, 0.0000, 0.7542).

As for the uncorrected formation energy: 33 meV/atom.

---

Entry 9:
Computed, not measured: a relaxed structure of CrSi2Os at the GGA-PBE level of DFT.

It has space group Cmm2 (No. 35), with a = 3.034 Å, b = 4.411 Å, c = 8.016 Å, α = 90.00°, β = 90.00° and γ = 90.00°. Symmetry generates all atoms from Cr at (0.000, 0.000, 0.000), Si at (0.000, 0.000, 0.498), Si at (0.000, 0.500, 0.231) and Os at (0.000, 0.500, 0.746).

As for the uncorrected formation energy: 306 meV/atom.

---

Entry 10:
Computed, not measured: a relaxed structure of CrSiOs2 at the GGA-PBE level of DFT.

It has space group I-42d (No. 122), with a = 5.406 Å, b = 5.406 Å, c = 10.539 Å, α = 90.00°, β = 90.00° and γ = 90.00°. Symmetry generates all atoms from Cr at (0.000, 0.000, 0.000), Si at (0.000, 0.000, 0.500) and Os at (0.243, 0.250, 0.125).

As for the uncorrected formation energy: 942 meV/atom.

---

Entry 11:
Computed, not measured: a relaxed structure of CrSi2Os at the GGA-PBE level of DFT.

It has space group I-42d (No. 122), with a = 3.725 Å, b = 3.725 Å, c = 16.833 Å, α = 90.00°, β = 90.00° and γ = 90.00°. Symmetry generates all atoms from Cr at (0.000, 0.000, 0.000), Si at (0.238, 0.250, 0.125) and Os at (0.000, 0.000, 0.500).

As for the uncorrected formation energy: 282 meV/atom.

---

Entry 12:
Computed, not measured: a relaxed structure of CrSiOs2 at the GGA-PBE level of DFT.

It has space group Imm2 (No. 44), with a = 2.866 Å, b = 4.230 Å, c = 8.578 Å, α = 90.00°, β = 90.00° and γ = 90.00°. Symmetry generates all atoms from Cr at (0.000, 0.000, 0.000), Si at (0.000, 0.500, 0.274), Os at (0.000, 0.000, 0.541) and Os at (0.000, 0.500, 0.765).

As for the uncorrected formation energy: -104 meV/atom.